Record 1
Material: HfCdSi2Rh
Method: DFT, PBE-GGA
State: optimized geometry

Properties
space-group type = No. 123
magnetization = 0.0 μB/f.u.
calculated volume = 20.69 Å³/atom
uncorrected energy = -5.404 eV/atom
formation energy from raw total energies = 0.409 eV/atom

a b c (Å): 4.5258 5.0501 4.5258
angles (deg): 90.00 90.00 90.00
Closest atoms and distances in Å follow each position.
Fractional positions:
Rh (0.0000, 0.0000, 0.0000)  4 Si 2.26, 2 Cd 2.53
Si (0.0000, 0.0000, 0.5000)  2 Rh 2.26
Si (0.5000, 0.0000, 0.0000)  2 Rh 2.26
Hf (0.5000, 0.5000, 0.5000)  4 Cd 3.20, 8 Si 3.39
Cd (0.0000, 0.5000, 0.0000)  2 Rh 2.53



Record 2
Material: LaBeZnHRhS
Method: DFT, PBE-GGA
State: optimized geometry

Properties
space-group type = No. 8
magnetization = 0.0 μB/f.u.
calculated volume = 17.13 Å³/atom
uncorrected energy = -4.760 eV/atom

a b c (Å): 4.0706 3.7091 13.8654
angles (deg): 90.00 100.86 90.00
Closest atoms and distances in Å follow each position.
Fractional positions:
La (0.0333, 0.0000, 0.2375)  2 H 2.52
La (0.0333, 0.5000, 0.7375)  2 H 2.52
Be (0.6144, 0.0000, 0.4406)  1 S 2.09, 2 Rh 2.30
Be (0.6144, 0.5000, 0.9406)  1 S 2.09, 2 Rh 2.30
Zn (0.1384, 0.0000, 0.9593)  2 Rh 2.51-2.69, 2 S 2.52, 4 Be 2.73-2.80
Zn (0.1384, 0.5000, 0.4593)  2 Rh 2.51-2.69, 2 S 2.52, 4 Be 2.73-2.80
H (0.6071, 0.0000, 0.7235)  1 Rh 1.71
H (0.6071, 0.5000, 0.2235)  1 Rh 1.71
Rh (0.5348, 0.0000, 0.8408)  1 H 1.71
Rh (0.5348, 0.5000, 0.3408)  1 H 1.71
S (0.9906, 0.0000, 0.5661)  1 Be 2.09
S (0.9906, 0.5000, 0.0661)  1 Be 2.09